Record 1
Material: TaNbB3
Method: DFT, PBE-GGA
State: relaxed

Properties
The value obtained for the total DFT energy (no corrections) is -9.15 eV/atom.

Cell and atoms, written as CIF:
```
data_TaNbB3
_chemical_formula_sum 'Ta4 Nb4 B12'
_cell_length_a 3.3168
_cell_length_b 19.5126
_cell_length_c 3.1297
_cell_angle_alpha 90.00
_cell_angle_beta 90.00
_cell_angle_gamma 90.00
_symmetry_space_group_name_H-M 'C m c m'
_symmetry_Int_Tables_number 63
_symmetry_space_group_name_Hall '-C 2c 2'
loop_
_atom_site_label
_atom_site_fract_x
_atom_site_fract_y
_atom_site_fract_z
Ta1 0.0000 0.2029 0.2500
Nb1 0.0000 0.0692 0.7500
B1 0.0000 0.3337 0.2500
B2 0.0000 0.3839 0.7500
B3 0.0000 0.4770 0.7500
```

Record 2
Material: La2PdPtN2
Method: DFT, PBE-GGA
State: relaxed

Properties
The value obtained for the total DFT energy (no corrections) is -6.76 eV/atom.

Cell and atoms, written as CIF:
```
data_La2PdPtN2
_chemical_formula_sum 'La2 Pd1 Pt1 N2'
_cell_length_a 3.9880
_cell_length_b 3.9880
_cell_length_c 7.3838
_cell_angle_alpha 90.00
_cell_angle_beta 90.00
_cell_angle_gamma 120.00
_symmetry_space_group_name_H-M 'P -6 m 2'
_symmetry_Int_Tables_number 187
_symmetry_space_group_name_Hall 'P -6 2'
loop_
_atom_site_label
_atom_site_fract_x
_atom_site_fract_y
_atom_site_fract_z
La1 0.0000 0.0000 0.2475
Pd1 0.3333 0.6667 0.0000
Pt1 0.6667 0.3333 0.5000
N1 0.3333 0.6667 0.5000
N2 0.6667 0.3333 0.0000
```

Record 3
Material: PmTlNO
Method: DFT, PBE-GGA
State: relaxed

Properties
The offset from the most stable computed form comes out at 98 meV per atom.

Cell and atoms, written as CIF:
```
data_PmTlNO
_chemical_formula_sum 'Pm4 Tl4 N4 O4'
_cell_length_a 6.8663
_cell_length_b 7.7245
_cell_length_c 5.9704
_cell_angle_alpha 90.00
_cell_angle_beta 90.00
_cell_angle_gamma 90.00
_symmetry_space_group_name_H-M 'P c a 21'
_symmetry_Int_Tables_number 29
_symmetry_space_group_name_Hall 'P 2c -2ac'
loop_
_atom_site_label
_atom_site_fract_x
_atom_site_fract_y
_atom_site_fract_z
Pm1 0.0803 0.1324 0.0000
Tl1 0.0888 0.6421 0.0012
N1 0.0966 0.1108 0.6114
O1 0.0657 0.6127 0.5963
```

Record 4
Material: Dy2Hf
Method: DFT, PBE-GGA
State: relaxed

Properties
The offset from the most stable computed form comes out at 0 meV per atom. The calculation puts the formation energy from the elements at 0.45 eV/f.u.

Cell and atoms, written as CIF:
```
data_Dy2Hf
_chemical_formula_sum 'Dy8 Hf4'
_cell_length_a 4.8056
_cell_length_b 14.5128
_cell_length_c 4.7482
_cell_angle_alpha 90.00
_cell_angle_beta 90.00
_cell_angle_gamma 90.00
_symmetry_space_group_name_H-M 'C m c m'
_symmetry_Int_Tables_number 63
_symmetry_space_group_name_Hall '-C 2c 2'
loop_
_atom_site_label
_atom_site_fract_x
_atom_site_fract_y
_atom_site_fract_z
Dy1 0.0000 0.0783 0.2500
Dy2 0.0000 0.2495 0.7500
Hf1 0.0000 0.4252 0.2500
```

| no. | size of the total moment (μB/cell) | V (Å³/atom) |
| --- | --- | --- |
| 1 | 0.0 | 10.13 |
| 2 | 0.0 | 16.95 |
| 3 | 0.0 | 19.79 |
| 4 | 0.0 | 27.60 |